Arrangement 1

Compound: CuHg3
Source: Alexandria via LeMat-Bulk
Functional: PBE
Structure: optimized geometry

The structure in CIF format:
```
data_CuHg3
_chemical_formula_sum 'Cu1 Hg3'
_cell_length_a 3.2730
_cell_length_b 3.2730
_cell_length_c 9.2904
_cell_angle_alpha 90.00
_cell_angle_beta 90.00
_cell_angle_gamma 120.00
_space_group_name_H-M_alt 'P -6 m 2'
_space_group_IT_number 187
_space_group_name_Hall 'P -6 2'
loop_
_atom_site_label
_atom_site_fract_x
_atom_site_fract_y
_atom_site_fract_z
Cu1 0.0000 0.0000 0.0000
Hg1 0.0000 0.0000 0.5000
Hg2 0.3333 0.6667 0.2163
```

## Properties
crystal system = hexagonal
magnetization = 0.000 μB/atom

Arrangement 2

Compound: CuHg3
Source: Alexandria via LeMat-Bulk
Functional: PBE
Structure: optimized geometry

The structure in CIF format:
```
data_CuHg3
_chemical_formula_sum 'Cu1 Hg3'
_cell_length_a 4.381
_cell_length_b 4.381
_cell_length_c 4.381
_cell_angle_alpha 90.00
_cell_angle_beta 90.00
_cell_angle_gamma 90.00
_space_group_name_H-M_alt 'P m -3 m'
_space_group_IT_number 221
_space_group_name_Hall '-P 4 2 3'
loop_
_atom_site_label
_atom_site_fract_x
_atom_site_fract_y
_atom_site_fract_z
Cu1 0.000 0.000 0.000
Hg1 0.000 0.500 0.500
```

## Properties
crystal system = cubic
magnetization = 0.000 μB/atom

Arrangement 3

Compound: CuHg3
Source: Alexandria via LeMat-Bulk
Functional: PBE
Structure: optimized geometry

The structure in CIF format:
```
data_CuHg3
_chemical_formula_sum 'Cu1 Hg3'
_cell_length_a 5.378
_cell_length_b 5.378
_cell_length_c 3.014
_cell_angle_alpha 90.00
_cell_angle_beta 90.00
_cell_angle_gamma 90.00
_space_group_name_H-M_alt 'P 4/m m m'
_space_group_IT_number 123
_space_group_name_Hall '-P 4 2'
loop_
_atom_site_label
_atom_site_fract_x
_atom_site_fract_y
_atom_site_fract_z
Cu1 0.000 0.000 0.000
Hg1 0.000 0.500 0.500
Hg2 0.500 0.500 0.000
```

## Properties
crystal system = tetragonal
magnetization = 0.000 μB/atom

Arrangement 4

Compound: CuHg3
Source: Alexandria via LeMat-Bulk
Functional: PBE
Structure: optimized geometry

The structure in CIF format:
```
data_CuHg3
_chemical_formula_sum 'Cu1 Hg3'
_cell_length_a 5.285
_cell_length_b 3.078
_cell_length_c 6.569
_cell_angle_alpha 90.00
_cell_angle_beta 111.22
_cell_angle_gamma 90.00
_space_group_name_H-M_alt 'P 1 2/m 1'
_space_group_IT_number 10
loop_
_space_group_symop_operation_xyz
'x,y,z'
'-x,-y,-z'
'-x,y,-z'
'x,-y,z'
loop_
_atom_site_label
_atom_site_fract_x
_atom_site_fract_y
_atom_site_fract_z
Cu1 0.000 0.000 0.000
Hg1 0.192 0.500 0.369
Hg2 0.500 0.000 0.000
```

## Properties
crystal system = monoclinic
magnetization = 0.000 μB/atom

Which structure is most stable? arrangement 4, by 1.2 kJ/mol of atoms over the runner-up.

Arrangement 1

Compound: CuHg3
Source: Alexandria via LeMat-Bulk
Functional: PBE
Structure: optimized geometry

The structure in CIF format:
```
data_CuHg3
_chemical_formula_sum 'Cu4 Hg12'
_cell_length_a 8.405
_cell_length_b 11.601
_cell_length_c 3.830
_cell_angle_alpha 90.00
_cell_angle_beta 90.00
_cell_angle_gamma 90.00
_space_group_name_H-M_alt 'C m c m'
_space_group_IT_number 63
_space_group_name_Hall '-C 2c 2'
loop_
_atom_site_label
_atom_site_fract_x
_atom_site_fract_y
_atom_site_fract_z
Cu1 0.000 0.064 0.250
Hg1 0.000 0.386 0.750
Hg2 0.209 0.141 0.750
```

## Properties
crystal system = orthorhombic
magnetization = 0.000 μB/atom

Arrangement 2

Compound: CuHg3
Source: Alexandria via LeMat-Bulk
Functional: PBE
Structure: optimized geometry

The structure in CIF format:
```
data_CuHg3
_chemical_formula_sum 'Cu1 Hg3'
_cell_length_a 5.229
_cell_length_b 5.229
_cell_length_c 5.229
_cell_angle_alpha 90.00
_cell_angle_beta 90.00
_cell_angle_gamma 90.00
_space_group_name_H-M_alt 'P m -3 m'
_space_group_IT_number 221
_space_group_name_Hall '-P 4 2 3'
loop_
_atom_site_label
_atom_site_fract_x
_atom_site_fract_y
_atom_site_fract_z
Cu1 0.000 0.000 0.000
Hg1 0.000 0.000 0.500
```

## Properties
crystal system = cubic
magnetization = 0.000 μB/atom

Which structure is most stable? arrangement 2, by 1.8 kJ/mol of atoms over the runner-up.

Arrangement 1

Compound: CuHg3
Source: Alexandria via LeMat-Bulk
Functional: PBE
Structure: optimized geometry

The structure in CIF format:
```
data_CuHg3
_chemical_formula_sum 'Cu2 Hg6'
_cell_length_a 5.576
_cell_length_b 5.576
_cell_length_c 5.576
_cell_angle_alpha 90.00
_cell_angle_beta 90.00
_cell_angle_gamma 90.00
_space_group_name_H-M_alt 'P m -3 n'
_space_group_IT_number 223
_space_group_name_Hall '-P 4n 2 3'
loop_
_atom_site_label
_atom_site_fract_x
_atom_site_fract_y
_atom_site_fract_z
Cu1 0.000 0.000 0.000
Hg1 0.000 0.250 0.500
```

## Properties
crystal system = cubic
magnetization = 0.000 μB/atom

Arrangement 2

Compound: CuHg3
Source: Alexandria via LeMat-Bulk
Functional: PBE
Structure: optimized geometry

The structure in CIF format:
```
data_CuHg3
_chemical_formula_sum 'Cu1 Hg3'
_cell_length_a 3.071
_cell_length_b 3.389
_cell_length_c 8.813
_cell_angle_alpha 90.00
_cell_angle_beta 90.00
_cell_angle_gamma 90.00
_space_group_name_H-M_alt 'P m m 2'
_space_group_IT_number 25
loop_
_space_group_symop_operation_xyz
'x,y,z'
'-x,-y,z'
'-x,y,z'
'x,-y,z'
loop_
_atom_site_label
_atom_site_fract_x
_atom_site_fract_y
_atom_site_fract_z
Cu1 0.000 0.000 0.000
Hg1 0.000 0.500 0.240
Hg2 0.500 0.000 0.525
Hg3 0.500 0.500 0.825
```

## Properties
crystal system = orthorhombic
magnetization = 0.000 μB/atom

Arrangement 3

Compound: CuHg3
Source: Alexandria via LeMat-Bulk
Functional: PBE
Structure: optimized geometry

The structure in CIF format:
```
data_CuHg3
_chemical_formula_sum 'Cu2 Hg6'
_cell_length_a 5.652
_cell_length_b 8.252
_cell_length_c 3.753
_cell_angle_alpha 90.00
_cell_angle_beta 90.00
_cell_angle_gamma 90.00
_space_group_name_H-M_alt 'C m m m'
_space_group_IT_number 65
_space_group_name_Hall '-C 2 2'
loop_
_atom_site_label
_atom_site_fract_x
_atom_site_fract_y
_atom_site_fract_z
Cu1 0.000 0.000 0.000
Hg1 0.000 0.500 0.000
Hg2 0.250 0.250 0.500
```

## Properties
crystal system = orthorhombic
magnetization = 0.000 μB/atom

Which structure is most stable? arrangement 2, by 7.6 kJ/mol of atoms over the runner-up.